1.
# MnPt12Rh3

An optimized crystal structure of MnPt12Rh3 (PBE, Alexandria).

a = 3.930 Å, b = 3.930 Å, c = 15.818 Å
α = 90.00°, β = 90.00°, γ = 90.00°
Last column: magnetic moment on the atom in μB.
Fractional coordinates of all 16 atoms:
Pt  0.500  0.500  0.752  0.02
Pt  0.500  0.500  0.500  -0.09
Pt  0.500  0.000  0.625  -0.07
Pt  0.500  0.500  0.248  0.02
Pt  0.000  0.500  0.375  -0.07
Pt  0.500  0.000  0.877  0.07
Pt  0.000  0.500  0.877  0.07
Pt  0.000  0.500  0.123  0.07
Pt  0.000  0.500  0.625  -0.07
Pt  0.500  0.000  0.375  -0.07
Pt  0.500  0.500  0.000  0.16
Pt  0.500  0.000  0.123  0.07
Mn  0.000  0.000  0.000  3.75
Rh  0.000  0.000  0.500  0.07
Rh  0.000  0.000  0.748  -0.28
Rh  0.000  0.000  0.252  -0.28

Properties
crystal system	tetragonal
energy of formation	-0.103	eV/atom
space group	No. 123

2.
# MnSbPtRh

An optimized crystal structure of MnSbPtRh (PBE, Alexandria).

a = 4.531 Å, b = 4.531 Å, c = 4.531 Å
α = 60.00°, β = 60.00°, γ = 60.00°
Last column: magnetic moment on the atom in μB.
Fractional coordinates of all 4 atoms:
Sb  0.500  0.500  0.500  0.01
Rh  0.750  0.750  0.750  0.18
Mn  0.000  0.000  0.000  3.87
Pt  0.250  0.250  0.250  0.12

Properties
crystal system	cubic
E	-27.6	eV for the cell shown
space group	No. 216

Here are the calculated Fermi-level density of states numbers, same order: 1.69, 0.94 (states/eV/atom).